Here is Na2VGeF after structural relaxation from Alexandria via LeMat-Bulk. Energies are from GGA+U.

abc: 5.607 5.607 4.879
angles: 90.00 90.00 90.00
Fractional coordinates of all 5 atoms:
Na (0.000, 0.500, 0.000)
Na (0.500, 0.000, 0.000)
V (0.000, 0.000, 0.500)
Ge (0.000, 0.000, 0.000)
F (0.500, 0.500, 0.500)

Calculated values
DOS at the Fermi energy = 0.309 states/eV/atom
VASP energy = -3.28 eV per atom